(1)
Na3Y2HoO6 | PBE-GGA | relaxed Values from VASP.

```
&SYSTEM
  ibrav = 0, nat = 12, ntyp = 4
/
ATOMIC_SPECIES
O 16.00 O.upf
Na 22.99 Na.upf
Y 88.91 Y.upf
Ho 164.93 Ho.upf
CELL_PARAMETERS angstrom
-4.3493 -3.7869 1.3882
4.1328 1.3748 4.0266
-3.0732 5.0667 -0.0324
ATOMIC_POSITIONS angstrom
O -2.1056 -0.3545 0.8345
O -0.8083 -0.7137 3.9948
Na -1.6448 1.3273 2.6912
Na -4.4776 -0.3965 1.8101
O 0.7051 1.3559 1.7088
O -3.9948 1.2987 3.6736
O -2.4814 3.3684 1.3876
Y -1.5221 -2.0664 2.2676
Ho 0.0000 0.0000 0.0000
O -1.1841 3.0092 4.5479
Y 1.3056 -0.3456 3.1472
Na 1.1879 3.0512 3.5723
```

Computed properties:
- total magnetic moment (μB per formula unit) = 0.0
- formation energy from raw total energies (eV per atom) = -2.79
- space-group type = No. 12

(2)
Na2YHoO4 | PBE-GGA | relaxed Values from VASP.

```
&SYSTEM
  ibrav = 0, nat = 8, ntyp = 4
/
ATOMIC_SPECIES
O 16.00 O.upf
Y 88.91 Y.upf
Na 22.99 Na.upf
Ho 164.93 Ho.upf
CELL_PARAMETERS angstrom
-0.5045 -1.9851 -2.7399
-4.3628 -2.8216 2.8476
-2.2318 4.6280 -2.9422
ATOMIC_POSITIONS angstrom
O -3.6948 -1.1070 1.4823
O -2.8998 2.9134 -1.5769
Y -2.4336 -2.4034 0.0539
Na -1.3681 1.3214 -2.8410
Ho 0.0000 0.0000 0.0000
Na -3.2973 0.9032 -0.0473
O -5.3507 0.5024 -1.5143
O -1.7483 -0.6811 -1.3201
```

Computed properties:
- total magnetic moment (μB per formula unit) = 0.0
- formation energy from raw total energies (eV per atom) = -2.80
- space-group type = No. 10